# CaTc2N3

A relaxed CaTc2N3 crystal (GGA-PBE, Alexandria).

Calculated values
- space-group type = Cmcm, No. 63
- crystal system = orthorhombic
- ΔE_f (raw) (meV/atom) = 10
- final energy (eV per atom) = -7.94
- size of the total moment (μB/f.u.) = 0.00

Unit cell a=6.1891 b=6.1891 c=5.1569 alpha=90.00 beta=90.00 gamma=105.73
Closest atoms and distances in Å follow each position.
Fractional positions:
Ca1 0.2116 0.7884 0.7500  2 N 2.81
Ca2 0.7884 0.2116 0.2500  2 N 2.81
Tc1 0.3216 0.3216 0.0000  4 N 1.91-2.09
Tc2 0.3216 0.3216 0.5000  4 N 1.91-2.09
Tc3 0.6784 0.6784 0.0000  4 N 1.91-2.09
Tc4 0.6784 0.6784 0.5000  4 N 1.91-2.09
N1 0.0918 0.3163 0.7500  2 Tc 1.91
N2 0.3163 0.0918 0.2500  2 Tc 1.91
N3 0.4032 0.5968 0.2500  4 Tc 2.09
N4 0.5968 0.4032 0.7500  4 Tc 2.09
N5 0.6837 0.9082 0.7500  2 Tc 1.91
N6 0.9082 0.6837 0.2500  2 Tc 1.91

# CaTcN3

A relaxed CaTcN3 crystal (GGA-PBE, Alexandria).

Calculated values
- space-group type = C2/m, No. 12
- crystal system = monoclinic
- ΔE_f (raw) (meV/atom) = -375
- final energy (eV per atom) = -7.84
- size of the total moment (μB/f.u.) = 0.00

Unit cell a=6.4482 b=6.4482 c=6.4759 alpha=105.06 beta=105.06 gamma=32.93
Closest atoms and distances in Å follow each position.
Fractional positions:
Ca1 0.1216 0.1216 0.3287  6 N 2.40-2.64
Ca2 0.8784 0.8784 0.6713  6 N 2.40-2.64
Tc1 0.3452 0.3452 0.1507  1 N 1.77
Tc2 0.6548 0.6548 0.8493  1 N 1.77
N1 0.1802 0.1802 0.9926  3 Tc 2.02-2.04
N2 0.3433 0.3433 0.4223  1 Tc 1.77
N3 0.4975 0.4975 0.0975  1 N 1.28
N4 0.5025 0.5025 0.9025  1 N 1.28
N5 0.6567 0.6567 0.5777  1 Tc 1.77
N6 0.8198 0.8198 0.0074  3 Tc 2.02-2.04

# Ca3TcN3

A relaxed Ca3TcN3 crystal (GGA-PBE, Alexandria).

Calculated values
- space-group type = P6_3/m, No. 176
- crystal system = hexagonal
- ΔE_f (raw) (meV/atom) = -747
- final energy (eV per atom) = -6.65
- distance to the lowest polymorph of the same formula (meV/atom) = 60
- size of the total moment (μB/f.u.) = 1.94

Unit cell a=7.4362 b=7.4362 c=5.0193 alpha=90.00 beta=90.00 gamma=120.00
Closest atoms and distances in Å follow each position.
Fractional positions:
Ca1 0.1010 0.7445 0.2500  4 N 2.49-2.52
Ca2 0.2555 0.3565 0.2500  4 N 2.49-2.52
Ca3 0.3565 0.1010 0.7500  4 N 2.49-2.52
Ca4 0.6435 0.8990 0.2500  4 N 2.49-2.52
Ca5 0.7445 0.6435 0.7500  4 N 2.49-2.52
Ca6 0.8990 0.2555 0.7500  4 N 2.49-2.52
Tc1 0.3333 0.6667 0.7500  3 N 1.88
Tc2 0.6667 0.3333 0.2500  3 N 1.88
N1 0.1107 0.7195 0.7500  1 Tc 1.88
N2 0.2805 0.3912 0.7500  1 Tc 1.88
N3 0.3912 0.1107 0.2500  1 Tc 1.88
N4 0.6088 0.8893 0.7500  1 Tc 1.88
N5 0.7195 0.6088 0.2500  1 Tc 1.88
N6 0.8893 0.2805 0.2500  1 Tc 1.88